Here is a relaxed LaPr2Th3Bi6 crystal from the Alexandria database. Energies are from PBE.

Geometry as extended XYZ:
```
12
Lattice="-2.3706 3.5525 1.7801 -7.4576 -2.5450 -4.8524 0.1562 -6.8174 7.8000" Properties=species:S:1:pos:R:3 pbc="T T T"
Bi -2.1374 -0.1247 3.4157
Th -6.5475 -3.7954 -1.1450
La -1.1853 1.7762 0.8900
Bi -5.5716 -1.9050 -3.6180
Bi -3.7860 -4.4251 3.7893
Pr -2.8343 -2.5348 1.2842
Pr -6.8376 -3.2750 3.4435
Bi -4.1004 -3.9048 8.3456
Th -3.1244 -2.0145 5.8727
Bi -5.8859 -1.3847 0.9384
Th -4.9141 0.5038 -1.5361
Bi -7.5345 -5.6851 1.3120
```

For the volume, the calculation gives 420.6 Å³/cell. The calculation puts the magnetic moment at 0.0 μB per formula unit. The calculation puts the energy at -5.7934 eV per atom.